Entry 1:
{"formula": "MnCd2", "functional": "PBE", "state": "relaxed", "spacegroup": "P6_3/mmc, No. 194", "cell": [[3.154, 1.013, 3.443], [-3.467, -3.189, 0.799], [3.442, -4.220, -1.912]], "species": ["Mn", "Mn", "Cd", "Cd", "Cd", "Cd"], "frac_coords": [[0.333, 0.667, 0.750], [0.667, 0.333, 0.250], [0.000, 0.000, 0.000], [0.000, 0.000, 0.500], [0.333, 0.667, 0.250], [0.667, 0.333, 0.750]]}

---

Entry 2:
{"formula": "Tb2Tl3CdS6", "functional": "PBE", "state": "relaxed", "spacegroup": "C2/m, No. 12", "formation_energy_uncorrected_kj_per_mol_atoms": -102.6, "cell": [[-1.627, -3.892, 5.590], [3.379, -2.881, -5.414], [5.760, 3.996, 2.987]], "species": ["Tb", "Tb", "Tl", "Tl", "Tl", "Cd", "S", "S", "S", "S", "S", "S"], "frac_coords": [[0.333, 0.667, 0.000], [0.667, 0.333, 0.000], [0.167, 0.833, 0.500], [0.833, 0.167, 0.500], [0.500, 0.500, 0.500], [0.000, 0.000, 0.000], [0.931, 0.594, 0.793], [0.733, 0.733, 0.208], [0.069, 0.406, 0.207], [0.594, 0.931, 0.793], [0.267, 0.267, 0.792], [0.406, 0.069, 0.207]]}

---

Entry 3:
{"formula": "BaTlCd2Pd", "functional": "PBE", "state": "relaxed", "spacegroup": "P4/mmm, No. 123", "relative_energy_ev_per_atom": 0.169, "cell": [[-3.384, 2.524, -3.246], [-1.151, -4.617, -2.390], [-4.366, -0.904, 3.849]], "species": ["Tl", "Ba", "Pd", "Cd", "Cd"], "frac_coords": [[0.500, 0.500, 0.500], [0.000, 0.000, 0.500], [0.000, 0.000, 0.000], [0.000, 0.500, 0.000], [0.500, 0.000, 0.000]]}

---

Entry 4:
{"formula": "HfMnZn2", "functional": "PBE", "state": "relaxed", "spacegroup": "P4/mmm, No. 123", "relative_energy_ev_per_atom": 0.020, "cell": [[4.192, 0.000, 0.000], [0.000, 3.880, 0.000], [0.000, 0.000, 3.880]], "species": ["Zn", "Zn", "Mn", "Hf"], "frac_coords": [[0.000, 0.000, 0.500], [0.000, 0.500, 0.000], [0.500, 0.500, 0.500], [0.500, 0.000, 0.000]]}

---

Entry 5:
{"formula": "Hg2Sb3Au4", "functional": "PBE", "state": "relaxed", "spacegroup": "C2/c, No. 15", "formation_energy_uncorrected_kj_per_mol_atoms": 3.0, "cell": [[5.652, -0.033, 0.689], [0.858, 8.621, 2.103], [-0.016, 0.650, 8.892]], "species": ["Hg", "Hg", "Hg", "Hg", "Sb", "Sb", "Sb", "Sb", "Sb", "Sb", "Au", "Au", "Au", "Au", "Au", "Au", "Au", "Au"], "frac_coords": [[0.355, 0.189, 0.441], [0.145, 0.559, 0.811], [0.645, 0.811, 0.559], [0.855, 0.441, 0.189], [0.887, 0.016, 0.208], [0.613, 0.792, 0.984], [0.113, 0.984, 0.792], [0.387, 0.208, 0.016], [0.250, 0.578, 0.422], [0.750, 0.422, 0.578], [0.413, 0.905, 0.246], [0.087, 0.754, 0.095], [0.587, 0.095, 0.754], [0.913, 0.246, 0.905], [0.861, 0.155, 0.454], [0.639, 0.546, 0.845], [0.139, 0.845, 0.546], [0.361, 0.454, 0.155]]}

---

Entry 6:
{"formula": "KAlCo2", "functional": "PBE", "state": "relaxed", "spacegroup": "R-3m, No. 166", "cell": [[9.294, -0.002, -0.001], [8.864, 2.793, -0.001], [8.864, 1.363, 2.438]], "species": ["K", "Co", "Co", "Al"], "frac_coords": [[0.250, 0.250, 0.250], [0.016, 0.016, 0.016], [0.484, 0.484, 0.484], [0.750, 0.750, 0.750]]}

---

For reference, total energy by record: -3.419 -4.566 -2.441 -5.455 -2.866 -4.175 eV per atom.